K2ZnFeH6 | PBE | relaxed

a = 5.525 Å, b = 6.191 Å, c = 7.176 Å
α = 90.00°, β = 90.00°, γ = 90.00°
Site moments in Bohr magnetons follow the coordinates.
Fractional positions:
1 H 0.271 0.478 0.500  -0.01
2 H 0.687 0.095 0.500  -0.02
3 H 0.500 0.270 0.220  0.00
4 H 0.771 0.522 0.000  -0.01
5 H 0.813 0.905 0.000  -0.02
6 H 0.000 0.730 0.280  0.00
7 H 0.000 0.730 0.720  0.00
8 H 0.187 0.905 0.000  -0.02
9 H 0.729 0.478 0.500  -0.01
10 H 0.313 0.095 0.500  -0.02
11 H 0.229 0.522 0.000  -0.01
12 H 0.500 0.270 0.780  0.00
13 K 0.500 0.800 0.261  0.00
14 K 0.000 0.200 0.761  0.00
15 K 0.000 0.200 0.239  0.00
16 K 0.500 0.800 0.739  0.00
17 Fe 0.500 0.290 0.500  1.87
18 Fe 0.000 0.710 0.000  1.87
19 Zn 0.000 0.632 0.500  0.06
20 Zn 0.500 0.368 0.000  0.06

Results
D(E_F) = 0.060 states/eV per atom
Raw total energy = -64.30 eV per cell